# 1
{
  "formula": "Ce6SbOs2",
  "functional": "GGA-PBE",
  "state": "optimized geometry",
  "lattice": [[-2.2839, 4.0022, -0.8787], [1.1288, -3.1433, -4.7290], [-7.9195, -4.2085, 1.4160]],
  "species": ["Ce", "Ce", "Ce", "Ce", "Ce", "Ce", "Sb", "Os", "Os"],
  "fractional_positions": [[0.0751, 0.1501, 0.8597], [0.5965, 0.1931, 0.1697], [0.4035, 0.8069, 0.8303], [0.7086, 0.4171, 0.6037], [0.2914, 0.5829, 0.3963], [0.9249, 0.8499, 0.1403], [0.0000, 0.0000, 0.5000], [0.7410, 0.4820, 0.8859], [0.2590, 0.5180, 0.1141]],
  "magnetic_moment_mub_per_atom": 0.1363,
  "raw_formation_energy_ev_per_atom": -0.36,
  "dos_ef_per_ev_atom": 2.0921,
  "space_group": "C2/m (12)",
  "e_tot_ev_per_atom": -7.267,
  "volume_a3_per_atom": 25.02,
  "polymorph_energy_ev_per_atom": 0.000
}

# 2
{
  "formula": "CaThCuRu",
  "functional": "GGA-PBE",
  "state": "optimized geometry",
  "lattice": [[-1.3237, 4.2719, 2.1401], [-0.3618, 0.2921, 4.9361], [3.3291, 2.6166, 2.5791]],
  "species": ["Ru", "Ca", "Cu", "Th"],
  "fractional_positions": [[0.0000, 0.0000, 0.0000], [0.2500, 0.2500, 0.2500], [0.5000, 0.5000, 0.5000], [0.7500, 0.7500, 0.7500]],
  "magnetic_moment_mub_per_atom": 0.0000,
  "dos_ef_per_ev_atom": 0.8889,
  "space_group": "F-43m (216)",
  "e_tot_ev_per_atom": -5.799,
  "volume_a3_per_atom": 21.54,
  "formation_enthalpy_0k_ev_per_atom": -0.101
}

# 3
{
  "formula": "Zn2BrCl",
  "functional": "GGA-PBE",
  "state": "optimized geometry",
  "lattice": [[7.7955, 0.0616, 0.0000], [5.8683, 5.1319, 0.0000], [-6.8319, -2.5968, 2.7121]],
  "species": ["Br", "Cl", "Zn", "Zn"],
  "fractional_positions": [[0.5000, 0.5000, 0.0000], [0.7500, 0.2500, 0.5000], [0.0000, 0.0000, 0.0000], [0.2500, 0.7500, 0.5000]],
  "magnetic_moment_mub_per_atom": 0.0000,
  "raw_formation_energy_ev_per_atom": -0.17,
  "dos_ef_per_ev_atom": 0.3307,
  "space_group": "I-4m2 (119)",
  "e_tot_ev_per_atom": -1.686,
  "volume_a3_per_atom": 26.88,
  "polymorph_energy_ev_per_atom": 0.446
}

# 4
{
  "formula": "Tb12NdHo5",
  "functional": "GGA-PBE",
  "state": "optimized geometry",
  "lattice": [[15.0785, 0.0000, -0.0040], [7.5393, 7.5466, -0.0020], [0.0007, 0.0000, 5.0273]],
  "species": ["Tb", "Tb", "Tb", "Tb", "Tb", "Tb", "Tb", "Tb", "Tb", "Tb", "Tb", "Tb", "Nd", "Ho", "Ho", "Ho", "Ho", "Ho"],
  "fractional_positions": [[0.8323, 0.0000, 0.4997], [0.1677, 0.0000, 0.5003], [0.6659, 0.0000, 0.9998], [0.3341, 0.0000, 0.0002], [0.3345, 0.6652, 0.0001], [0.0004, 0.6652, 0.9999], [0.9996, 0.3348, 0.0001], [0.6655, 0.3348, 0.9999], [0.4996, 0.3327, 0.5000], [0.8323, 0.6673, 0.5000], [0.1677, 0.3327, 0.5000], [0.5004, 0.6673, 0.5000], [0.0000, 0.0000, 0.0000], [0.5000, 0.0000, 0.5000], [0.1680, 0.6641, 0.5000], [0.8320, 0.3359, 0.5000], [0.6665, 0.6671, 0.0000], [0.3335, 0.3329, 0.0000]],
  "magnetic_moment_mub_per_atom": 0.0000,
  "dos_ef_per_ev_atom": 1.3675,
  "space_group": "Cmmm (65)",
  "e_tot_ev_per_atom": -4.606,
  "volume_a3_per_atom": 31.78,
  "formation_enthalpy_0k_ev_per_atom": 0.017
}